A plane-wave DFT calculation with PBE was carried out for a relaxed structure of CsCdSi.

Cell: 4.7983 4.8003 13.7358 Å, 71.40 74.49 56.73°
With the nearest neighbours (Å) after each atom.
Fractional coordinates of all 6 atoms:
Si: 0.2121 0.4890 0.7950  1 Si 2.46, 1 Cd 2.63
Si: 0.1508 0.4842 0.6238  1 Si 2.46, 2 Cd 2.67
Cs: 0.5675 0.9686 0.4175  3 Si 3.76-3.91, 3 Cd 3.78-3.82
Cs: 0.4965 0.6981 0.0211  3 Cd 3.76-3.77, 2 Si 3.87
Cd: 0.8172 0.1507 0.6219  3 Si 2.67-2.83, 1 Cd 2.87
Cd: 0.8938 0.1619 0.8203  3 Si 2.63-2.81, 1 Cd 2.87

final energy	-2.286	eV/atom
crystal system	triclinic

=====

A plane-wave DFT calculation with PBE was carried out for a relaxed structure of CsSrCd2Si.

Cell: 5.6689 5.9095 5.6689 Å, 90.00 90.00 90.00°
With the nearest neighbours (Å) after each atom.
Fractional coordinates of all 5 atoms:
Cs: 0.5000 0.5000 0.5000  4 Sr 4.01, 8 Cd 4.09
Sr: 0.0000 0.5000 0.0000  2 Si 2.95
Si: 0.0000 0.0000 0.0000  4 Cd 2.83, 2 Sr 2.95
Cd: 0.0000 0.0000 0.5000  2 Si 2.83
Cd: 0.5000 0.0000 0.0000  2 Si 2.83

final energy	-1.812	eV/atom
crystal system	tetragonal

=====

Number 1: formation energy without anion corrections 2.6 kcal/mol of atoms. Number 2: formation energy without anion corrections 3.4 kcal/mol of atoms.